Below is a relaxed structure of Ta2CuAg, with properties calculated at the PBE level.

The structure in POSCAR format:
```
Ta2CuAg
1.0
9.767 0.021 0.012
9.346 2.838 0.012
9.346 1.398 2.470
Ta Ag Cu
2 1 1
Direct
0.249 0.249 0.249
0.006 0.006 0.006
0.494 0.494 0.494
0.750 0.750 0.750
```

Energy relative to the elements (eV per formula unit): 1.04
Symmetry: R3m, No. 160
E (eV/atom): -7.402